Tb4CeDy6 after structural relaxation, computed with PBE-GGA.

For the volume, the calculation gives 1405.1 Å³ per cell. The value obtained for the raw total energy is -4.59 eV/atom. As for the total magnetization: 3.49 μB/cell. The density of states at the Fermi level is 91.7 states/eV/cell.

Geometry as CIF:
```
data_Tb4CeDy6
_symmetry_space_group_name_H-M 'C m c m'
_symmetry_Int_Tables_number 63
_symmetry_space_group_name_Hall '-C 2c 2'
_cell_length_a 5.730
_cell_length_b 9.555
_cell_length_c 25.664
_cell_angle_alpha 90.00
_cell_angle_beta 90.00
_cell_angle_gamma 90.00
loop_
_atom_site_label
_atom_site_type_symbol
_atom_site_fract_x
_atom_site_fract_y
_atom_site_fract_z
Tb1 Tb 0.000 0.037 0.122
Tb2 Tb 0.000 0.345 0.042
Ce1 Ce 0.000 0.307 0.750
Dy1 Dy 0.000 0.000 0.000
Dy2 Dy 0.000 0.027 0.250
Dy3 Dy 0.000 0.305 0.603
Dy4 Dy 0.000 0.364 0.181
```